DFT (PBE-GGA) results for a relaxed structure of Zr2SiAu. Values from VASP.

Properties
Energy relative to the elements, uncorrected (eV/atom): -0.49
Space-group type: No. 6
Final energy (eV/f.u.): -27.761

The structure in Quantum ESPRESSO input format:
```
&SYSTEM
  ibrav = 0, nat = 4, ntyp = 3
/
ATOMIC_SPECIES
Au 196.97 Au.upf
Si 28.09 Si.upf
Zr 91.22 Zr.upf
CELL_PARAMETERS angstrom
-1.329 -1.493 -4.497
2.122 -2.168 0.092
-3.123 -3.475 2.077
ATOMIC_POSITIONS crystal
Au 0.000 0.624 0.436
Si 0.500 0.620 0.826
Zr 0.000 0.067 0.916
Zr 0.500 0.189 0.323
```